[1]
Below is CuGeSb2Te after structural relaxation, with properties calculated at the PBE-GGA level.

Results
The value obtained for the total energy is -3.1149 eV per atom. For the density of states at the Fermi level, the calculation gives 3.5 states/eV/f.u. As for the space group: P4/mmm. The energy relative to the elements, uncorrected is 87.33 kJ/mol of atoms. As for the crystal system: tetragonal.

Lattice parameters (Å, degrees): 5.3446 5.3446 5.3427 90.00 90.00 90.00
With the nearest neighbours (Å) after each atom.
Fractional positions:
Ge (0.0000, 0.0000, 0.0000)  2 Te 2.67, 4 Sb 2.67
Cu (0.5000, 0.5000, 0.5000)  8 Sb 3.78, 4 Te 3.78
Te (0.0000, 0.0000, 0.5000)  2 Ge 2.67
Sb (0.0000, 0.5000, 0.0000)  2 Ge 2.67
Sb (0.5000, 0.0000, 0.0000)  2 Ge 2.67


[2]
Below is CsSr2SnIr after structural relaxation, with properties calculated at the PBE-GGA level.

Results
The value obtained for the total energy is -3.6049 eV per atom. For the density of states at the Fermi level, the calculation gives 3.3 states/eV/f.u. As for the space group: P4/mmm. As for the crystal system: tetragonal.

Lattice parameters (Å, degrees): 6.0112 6.0112 5.2323 90.00 90.00 90.00
With the nearest neighbours (Å) after each atom.
Fractional positions:
Sr (0.0000, 0.5000, 0.0000)  2 Ir 3.01
Sr (0.5000, 0.0000, 0.0000)  2 Ir 3.01
Sn (0.0000, 0.0000, 0.5000)  2 Ir 2.62
Ir (0.0000, 0.0000, 0.0000)  2 Sn 2.62
Cs (0.5000, 0.5000, 0.5000)  8 Sr 3.98, 4 Sn 4.25


[3]
Below is Li2Mg6Rh3 after structural relaxation, with properties calculated at the PBE-GGA level.

Results
The value obtained for the total energy is -3.2212 eV per atom. For the density of states at the Fermi level, the calculation gives 6.9 states/eV/f.u. As for the space group: Fmmm. As for the crystal system: orthorhombic.

Lattice parameters (Å, degrees): 5.0616 5.0616 9.4714 98.92 98.92 114.80
With the nearest neighbours (Å) after each atom.
Fractional positions:
Mg (0.5896, 0.0896, 0.1793)  2 Li 2.59, 2 Rh 2.72, 2 Mg 2.73
Mg (0.2898, 0.2898, 0.5796)  1 Rh 2.63, 1 Li 2.72
Mg (0.9104, 0.4104, 0.8207)  2 Li 2.59, 2 Rh 2.72, 2 Mg 2.73
Mg (0.0896, 0.5896, 0.1793)  2 Li 2.59, 2 Rh 2.72, 2 Mg 2.73
Mg (0.4104, 0.9104, 0.8207)  2 Li 2.59, 2 Rh 2.72, 2 Mg 2.73
Mg (0.7102, 0.7102, 0.4204)  1 Rh 2.63, 1 Li 2.72
Li (0.5602, 0.5602, 0.1205)  1 Li 2.19
Li (0.4398, 0.4398, 0.8795)  1 Li 2.19
Rh (0.1448, 0.1448, 0.2896)  1 Rh 2.63, 5 Mg 2.63-2.72
Rh (0.8552, 0.8552, 0.7104)  1 Rh 2.63, 5 Mg 2.63-2.72
Rh (0.0000, 0.0000, 0.0000)  2 Rh 2.63, 4 Li 2.94


[4]
Below is Nd6DyCd after structural relaxation, with properties calculated at the PBE-GGA level.

Results
The value obtained for the total energy is -3.8499 eV per atom. For the density of states at the Fermi level, the calculation gives 12.2 states/eV/f.u. As for the space group: P-1. As for the crystal system: triclinic.

Lattice parameters (Å, degrees): 6.5883 6.6410 9.1268 68.64 69.21 59.77
With the nearest neighbours (Å) after each atom.
Fractional positions:
Nd (0.5676, 0.1841, 0.2869)  1 Dy 3.13, 1 Cd 3.16, 2 Nd 3.48-3.49
Nd (0.9630, 0.5738, 0.2906)  1 Cd 3.14, 1 Dy 3.14, 2 Nd 3.49-3.50
Nd (0.4324, 0.8159, 0.7131)  1 Dy 3.13, 1 Cd 3.16, 2 Nd 3.48-3.49
Nd (0.0370, 0.4262, 0.7094)  1 Cd 3.14, 1 Dy 3.14, 2 Nd 3.49-3.50
Nd (0.1788, 0.9730, 0.2882)  1 Dy 3.14, 1 Cd 3.16, 2 Nd 3.48-3.50
Nd (0.8212, 0.0270, 0.7118)  1 Dy 3.14, 1 Cd 3.16, 2 Nd 3.48-3.50
Dy (0.5000, 0.5000, 0.5000)  6 Nd 3.13-3.14
Cd (0.0000, 0.0000, 0.0000)  6 Nd 3.14-3.16


[5]
Below is PSeCl2O after structural relaxation, with properties calculated at the PBE-GGA level.

Results
The value obtained for the total energy is -2.5741 eV per atom. For the density of states at the Fermi level, the calculation gives 1.4 states/eV/f.u. As for the space group: P4/mmm. The energy relative to the elements, uncorrected is 90.22 kJ/mol of atoms. As for the crystal system: tetragonal.

Lattice parameters (Å, degrees): 4.9188 4.9188 5.2736 90.00 90.00 90.00
With the nearest neighbours (Å) after each atom.
Fractional positions:
Cl (0.5000, 0.0000, 0.0000)  2 Se 2.46
Cl (0.0000, 0.5000, 0.0000)  2 Se 2.46
P (0.0000, 0.0000, 0.5000)  2 Se 2.64
Se (0.0000, 0.0000, 0.0000)  4 Cl 2.46, 2 P 2.64
O (0.5000, 0.5000, 0.5000)  4 P 3.48, 8 Cl 3.61


[6]
Below is CsNbTeO5 after structural relaxation, with properties calculated at the PBE-GGA level.

Results
The value obtained for the total energy is -6.5645 eV per atom. As for the space group: C2/c. The energy relative to the elements, uncorrected is -164.75 kJ/mol of atoms. As for the crystal system: monoclinic.

Lattice parameters (Å, degrees): 6.3211 6.3211 7.7361 102.16 102.16 104.67
With the nearest neighbours (Å) after each atom.
Fractional positions:
O (0.7147, 0.0963, 0.3875)  1 Te 1.94, 1 Nb 2.12
O (0.6671, 0.8305, 0.9350)  1 Nb 2.00, 1 Te 2.21
O (0.9037, 0.2853, 0.1125)  1 Te 1.94, 1 Nb 2.12
O (0.3329, 0.1695, 0.0650)  1 Nb 2.00, 1 Te 2.21
O (0.9509, 0.0491, 0.7500)  2 Nb 2.00
O (0.2853, 0.9037, 0.6125)  1 Te 1.94, 1 Nb 2.12
O (0.8305, 0.6671, 0.4350)  1 Nb 2.00, 1 Te 2.21
O (0.0491, 0.9509, 0.2500)  2 Nb 2.00
O (0.1695, 0.3329, 0.5650)  1 Nb 2.00, 1 Te 2.21
O (0.0963, 0.7147, 0.8875)  1 Te 1.94, 1 Nb 2.12
Nb (0.0000, 0.0000, 0.0000)  6 O 2.00-2.12
Nb (0.0000, 0.0000, 0.5000)  6 O 2.00-2.12
Te (0.3156, 0.6844, 0.7500)  2 O 1.94
Te (0.6844, 0.3156, 0.2500)  2 O 1.94
Cs (0.6636, 0.3364, 0.7500)  7 O 2.88-3.14
Cs (0.3364, 0.6636, 0.2500)  7 O 2.88-3.14